SrVGeO6 | PBE with a Hubbard U | relaxed

```
SrVGeO6
1.0
5.087 0.000 0.000
-2.543 4.405 0.000
0.000 0.000 10.788
Sr V Ge O
2 2 2 12
Direct
0.000 0.000 0.000
0.000 0.000 0.500
0.333 0.667 0.250
0.667 0.333 0.750
0.333 0.667 0.750
0.667 0.333 0.250
0.002 0.386 0.151
0.002 0.617 0.349
0.383 0.386 0.349
0.383 0.998 0.151
0.386 0.002 0.651
0.386 0.383 0.849
0.614 0.617 0.151
0.614 0.998 0.349
0.617 0.002 0.849
0.617 0.614 0.651
0.998 0.383 0.651
0.998 0.614 0.849
```

Values from the calculation:
Final energy in eV/atom: -6.7027
DOS(E_F) in states/eV/cell: 14.7
Crystal system: trigonal
Spin magnetization in μB/atom: 0.119
Space group: No. 163